(1)
{"formula": "ZrPd3Au", "functional": "PBE-GGA", "state": "relaxed", "cell": [[-1.985, 1.441, -1.640], [-5.960, -7.089, 0.988], [1.749, 7.639, 4.594]], "species": ["Zr", "Zr", "Pd", "Pd", "Pd", "Pd", "Pd", "Pd", "Au", "Au"], "frac_coords": [[0.250, 0.774, 0.842], [0.750, 0.226, 0.158], [0.750, 0.417, 0.564], [0.250, 0.042, 0.264], [0.750, 0.180, 0.628], [0.750, 0.958, 0.736], [0.250, 0.820, 0.372], [0.250, 0.583, 0.436], [0.250, 0.359, 0.994], [0.750, 0.641, 0.006]], "e_tot_ev_per_atom": -5.77, "formation_enthalpy_0k_ev_per_atom": -0.29, "magmom_total_mub_per_fu": 0.0}

(2)
{"formula": "SrNbI3", "functional": "PBE-GGA", "state": "relaxed", "cell": [[-2.342, 1.216, 5.159], [4.011, -3.280, 2.595], [3.464, 4.620, 0.484]], "species": ["I", "I", "I", "Sr", "Nb"], "frac_coords": [[0.000, 0.500, 0.000], [0.000, 0.000, 0.500], [0.500, 0.000, 0.000], [0.500, 0.500, 0.500], [0.000, 0.000, 0.000]], "e_tot_ev_per_atom": -3.60, "magmom_total_mub_per_fu": 3.6, "formation_energy_uncorrected_ev_per_atom": -0.3194}

(3)
{"formula": "Sc13Os3Br16", "functional": "PBE-GGA", "state": "relaxed", "cell": [[9.007, 0.000, 0.000], [0.000, 10.758, 0.000], [0.000, 0.000, 19.914]], "species": ["Sc", "Sc", "Sc", "Sc", "Sc", "Sc", "Sc", "Sc", "Sc", "Sc", "Sc", "Sc", "Sc", "Sc", "Sc", "Sc", "Sc", "Sc", "Sc", "Sc", "Sc", "Sc", "Sc", "Sc", "Sc", "Sc", "Os", "Os", "Os", "Os", "Os", "Os", "Br", "Br", "Br", "Br", "Br", "Br", "Br", "Br", "Br", "Br", "Br", "Br", "Br", "Br", "Br", "Br", "Br", "Br", "Br", "Br", "Br", "Br", "Br", "Br", "Br", "Br", "Br", "Br", "Br", "Br", "Br", "Br"], "frac_coords": [[0.821, 0.603, 0.400], [0.821, 0.397, 0.600], [0.679, 0.103, 0.100], [0.679, 0.897, 0.900], [0.179, 0.397, 0.600], [0.179, 0.603, 0.400], [0.321, 0.897, 0.900], [0.321, 0.103, 0.100], [0.818, 0.321, 0.443], [0.818, 0.679, 0.557], [0.682, 0.821, 0.057], [0.682, 0.179, 0.943], [0.182, 0.679, 0.557], [0.182, 0.321, 0.443], [0.318, 0.179, 0.943], [0.318, 0.821, 0.057], [0.500, 0.297, 0.529], [0.500, 0.703, 0.471], [0.000, 0.797, 0.971], [0.000, 0.203, 0.029], [0.500, 0.446, 0.387], [0.500, 0.554, 0.613], [0.000, 0.946, 0.113], [0.000, 0.054, 0.887], [0.000, 0.000, 0.500], [0.500, 0.500, 0.000], [0.662, 0.500, 0.500], [0.838, 0.000, 0.000], [0.338, 0.500, 0.500], [0.162, 0.000, 0.000], [0.000, 0.500, 0.500], [0.500, 0.000, 0.000], [0.000, 0.132, 0.385], [0.000, 0.868, 0.615], [0.500, 0.632, 0.115], [0.500, 0.368, 0.885], [0.763, 0.406, 0.312], [0.763, 0.594, 0.688], [0.737, 0.906, 0.188], [0.737, 0.094, 0.812], [0.237, 0.594, 0.688], [0.237, 0.406, 0.312], [0.263, 0.094, 0.812], [0.263, 0.906, 0.188], [0.774, 0.143, 0.550], [0.774, 0.857, 0.450], [0.726, 0.643, 0.950], [0.726, 0.357, 0.050], [0.226, 0.857, 0.450], [0.226, 0.143, 0.550], [0.274, 0.357, 0.050], [0.274, 0.643, 0.950], [0.000, 0.708, 0.307], [0.000, 0.292, 0.693], [0.500, 0.208, 0.193], [0.500, 0.792, 0.807], [0.500, 0.186, 0.404], [0.500, 0.814, 0.596], [0.000, 0.686, 0.096], [0.000, 0.314, 0.904], [0.500, 0.312, 0.666], [0.500, 0.688, 0.334], [0.000, 0.812, 0.834], [0.000, 0.188, 0.166]], "e_tot_ev_per_atom": -5.78, "magmom_total_mub_per_fu": 0.2, "formation_energy_uncorrected_ev_per_atom": -1.3211}

(4)
{"formula": "Li3Pr2Ge2", "functional": "PBE-GGA", "state": "relaxed", "cell": [[-1.305, 0.187, 4.520], [0.012, -5.228, -2.232], [6.132, 0.556, 1.747]], "species": ["Li", "Li", "Li", "Pr", "Pr", "Ge", "Ge"], "frac_coords": [[0.500, 0.000, 0.000], [0.616, 0.232, 0.430], [0.384, 0.768, 0.570], [0.854, 0.708, 0.233], [0.146, 0.292, 0.767], [0.844, 0.689, 0.746], [0.156, 0.311, 0.254]], "e_tot_ev_per_atom": -4.00, "formation_enthalpy_0k_ev_per_atom": -0.49, "magmom_total_mub_per_fu": 0.4}

(5)
{"formula": "Ag2Pb", "functional": "PBE-GGA", "state": "relaxed", "cell": [[4.609, -3.789, 1.170], [3.718, 3.795, 2.956], [-5.846, -1.001, 1.335]], "species": ["Ag", "Ag", "Ag", "Ag", "Pb", "Pb"], "frac_coords": [[0.821, 0.321, 0.143], [0.179, 0.679, 0.857], [0.321, 0.179, 0.500], [0.679, 0.821, 0.500], [0.750, 0.750, 0.000], [0.250, 0.250, 0.000]], "e_tot_ev_per_atom": -2.98, "formation_enthalpy_0k_ev_per_atom": 0.16, "magmom_total_mub_per_fu": 0.0}

(6)
{"formula": "PrEr4Tm8", "functional": "PBE-GGA", "state": "relaxed", "cell": [[0.708, 2.113, -6.860], [5.562, -3.062, 3.423], [-5.050, -8.412, 0.680]], "species": ["Pr", "Er", "Er", "Er", "Er", "Tm", "Tm", "Tm", "Tm", "Tm", "Tm", "Tm", "Tm"], "frac_coords": [[0.000, 0.500, 0.500], [0.000, 0.000, 0.000], [0.000, 0.500, 0.000], [0.500, 0.500, 0.000], [0.500, 0.000, 0.000], [0.563, 0.781, 0.344], [0.437, 0.219, 0.656], [0.498, 0.249, 0.305], [0.944, 0.193, 0.695], [0.502, 0.751, 0.695], [0.944, 0.751, 0.695], [0.056, 0.249, 0.305], [0.056, 0.807, 0.305]], "e_tot_ev_per_atom": -4.31, "formation_enthalpy_0k_ev_per_atom": 0.21, "magmom_total_mub_per_fu": 0.0}

(7)
{"formula": "RbZnHg2I", "functional": "PBE-GGA", "state": "relaxed", "cell": [[-4.866, 1.439, -1.447], [0.394, -3.009, -4.317], [-2.528, -5.162, 3.368]], "species": ["I", "Zn", "Hg", "Hg", "Rb"], "frac_coords": [[0.000, 0.000, 0.500], [0.000, 0.000, 0.000], [0.000, 0.500, 0.000], [0.500, 0.000, 0.000], [0.500, 0.500, 0.500]], "e_tot_ev_per_atom": -1.29, "magmom_total_mub_per_fu": 0.0, "formation_energy_uncorrected_ev_per_atom": -0.4079}

(8)
{"formula": "Ir3Pt2Rh8", "functional": "PBE-GGA", "state": "relaxed", "cell": [[-3.126, -2.612, 0.943], [5.508, -5.468, 3.115], [3.433, -1.404, 7.496]], "species": ["Ir", "Ir", "Ir", "Pt", "Pt", "Rh", "Rh", "Rh", "Rh", "Rh", "Rh", "Rh", "Rh"], "frac_coords": [[0.500, 0.000, 0.000], [0.000, 0.706, 0.294], [0.000, 0.294, 0.706], [0.500, 0.764, 0.764], [0.500, 0.236, 0.236], [0.000, 0.341, 0.341], [0.000, 0.659, 0.659], [0.000, 0.879, 0.879], [0.000, 0.121, 0.121], [0.500, 0.405, 0.824], [0.500, 0.824, 0.405], [0.500, 0.176, 0.595], [0.500, 0.595, 0.176]], "e_tot_ev_per_atom": -7.21, "formation_enthalpy_0k_ev_per_atom": 0.29, "magmom_total_mub_per_fu": 0.0}

(9)
{"formula": "ZnFeSb", "functional": "PBE-GGA", "state": "relaxed", "cell": [[4.345, 0.000, 0.000], [0.000, 4.344, 0.000], [0.000, 0.000, 5.653]], "species": ["Zn", "Zn", "Fe", "Fe", "Sb", "Sb"], "frac_coords": [[0.272, 0.599, 0.236], [0.773, 0.099, 0.736], [0.772, 0.599, 0.986], [0.772, 0.599, 0.486], [0.272, 0.599, 0.736], [0.772, 0.099, 0.237]], "e_tot_ev_per_atom": -4.52, "magmom_total_mub_per_fu": 1.6, "formation_energy_uncorrected_ev_per_atom": 0.0999}

(10)
{"formula": "ErBRu", "functional": "PBE-GGA", "state": "relaxed", "cell": [[-0.622, 1.429, 3.919], [3.072, -1.612, 1.075], [0.077, 3.415, -1.233]], "species": ["Ru", "B", "Er"], "frac_coords": [[0.167, 0.000, 0.000], [0.167, 0.667, 0.333], [0.667, 0.333, 0.667]], "e_tot_ev_per_atom": -7.30, "formation_enthalpy_0k_ev_per_atom": -0.46, "magmom_total_mub_per_fu": 0.0}

(11)
{"formula": "NiPb", "functional": "PBE-GGA", "state": "relaxed", "cell": [[3.284, 0.000, 0.000], [0.000, 3.284, 0.000], [0.000, 0.000, 7.527]], "species": ["Ni", "Ni", "Pb", "Pb"], "frac_coords": [[0.250, 0.250, 0.076], [0.750, 0.750, 0.924], [0.250, 0.250, 0.710], [0.750, 0.750, 0.290]], "e_tot_ev_per_atom": -4.57, "formation_enthalpy_0k_ev_per_atom": 0.18, "magmom_total_mub_per_fu": 0.0}

(12)
{"formula": "H2ClF2", "functional": "PBE-GGA", "state": "relaxed", "cell": [[-1.192, -2.219, 1.846], [2.223, -0.815, 0.456], [-0.513, 5.883, 6.739]], "species": ["H", "H", "Cl", "F", "F"], "frac_coords": [[0.200, 0.498, 0.653], [0.700, 0.835, 0.368], [0.200, 0.567, 0.004], [0.200, 0.882, 0.631], [0.700, 0.218, 0.345]], "e_tot_ev_per_atom": -3.61, "magmom_total_mub_per_fu": 0.0}

(13)
{"formula": "LiPdPb2", "functional": "PBE-GGA", "state": "relaxed", "cell": [[4.621, 0.000, 0.000], [2.310, 4.002, 0.000], [2.310, 1.334, 5.290]], "species": ["Li", "Pd", "Pb", "Pb"], "frac_coords": [[0.494, 0.494, 0.517], [0.672, 0.672, 0.985], [0.065, 0.065, 0.806], [0.269, 0.269, 0.192]], "e_tot_ev_per_atom": -3.86, "formation_enthalpy_0k_ev_per_atom": -0.23, "magmom_total_mub_per_fu": 0.0}

(14)
{"formula": "Tb4Pr4Tm5", "functional": "PBE-GGA", "state": "relaxed", "cell": [[-4.793, -1.406, -0.744], [-0.480, -8.999, 2.959], [-4.546, 2.176, 8.036]], "species": ["Tb", "Tb", "Tb", "Tb", "Pr", "Pr", "Pr", "Pr", "Tm", "Tm", "Tm", "Tm", "Tm"], "frac_coords": [[0.772, 0.381, 0.076], [0.228, 0.619, 0.924], [0.847, 0.924, 0.381], [0.153, 0.076, 0.619], [0.921, 0.461, 0.698], [0.618, 0.302, 0.461], [0.079, 0.539, 0.302], [0.382, 0.698, 0.539], [0.688, 0.851, 0.773], [0.312, 0.149, 0.227], [0.000, 0.000, 0.000], [0.539, 0.773, 0.149], [0.461, 0.227, 0.851]], "e_tot_ev_per_atom": -4.59, "formation_enthalpy_0k_ev_per_atom": 0.02, "magmom_total_mub_per_fu": 0.0}

(15)
{"formula": "Re2PRh", "functional": "PBE-GGA", "state": "relaxed", "cell": [[-1.918, 1.918, 3.809], [1.918, -1.918, 3.809], [1.918, 1.918, -3.809]], "species": ["Re", "Re", "P", "Rh"], "frac_coords": [[0.000, 0.000, 0.000], [0.250, 0.750, 0.500], [0.750, 0.250, 0.500], [0.500, 0.500, 0.000]], "e_tot_ev_per_atom": -9.20, "formation_enthalpy_0k_ev_per_atom": 0.21, "magmom_total_mub_per_fu": 0.0}

(16)
{"formula": "SrCeY2", "functional": "PBE-GGA", "state": "relaxed", "cell": [[-1.989, -2.967, 0.409], [1.428, -2.925, 1.526], [-3.939, 2.114, 11.969]], "species": ["Y", "Y", "Sr", "Ce"], "frac_coords": [[0.094, 0.094, 0.719], [0.906, 0.906, 0.281], [0.000, 0.000, 0.000], [0.500, 0.500, 0.500]], "e_tot_ev_per_atom": -4.89, "formation_enthalpy_0k_ev_per_atom": 0.25, "magmom_total_mub_per_fu": 0.3}

(17)
{"formula": "ZrAsBr", "functional": "PBE-GGA", "state": "relaxed", "cell": [[4.724, 0.000, 0.000], [2.362, 4.091, 0.000], [2.362, 1.364, 3.857]], "species": ["As", "Br", "Zr"], "frac_coords": [[0.000, 0.000, 0.000], [0.500, 0.500, 0.500], [0.750, 0.750, 0.750]], "e_tot_ev_per_atom": -5.49, "magmom_total_mub_per_fu": 0.0, "formation_energy_uncorrected_ev_per_atom": -0.5345}

(18)
{"formula": "BeSiBi3", "functional": "PBE-GGA", "state": "relaxed", "cell": [[-4.246, -1.053, 2.614], [0.730, -4.977, -0.819], [2.722, -0.308, 4.297]], "species": ["Be", "Si", "Bi", "Bi", "Bi"], "frac_coords": [[0.000, 0.000, 0.000], [0.500, 0.500, 0.500], [0.000, 0.500, 0.000], [0.000, 0.000, 0.500], [0.500, 0.000, 0.000]], "e_tot_ev_per_atom": -3.43, "magmom_total_mub_per_fu": 0.0, "formation_energy_uncorrected_ev_per_atom": 0.7260}

(19)
{"formula": "La3TcSe", "functional": "PBE-GGA", "state": "relaxed", "cell": [[-4.378, 2.784, -1.585], [-2.951, -2.461, 3.829], [1.246, 3.952, 3.501]], "species": ["Tc", "Se", "La", "La", "La"], "frac_coords": [[0.000, 0.000, 0.000], [0.500, 0.500, 0.500], [0.000, 0.500, 0.000], [0.000, 0.000, 0.500], [0.500, 0.000, 0.000]], "e_tot_ev_per_atom": -6.09, "magmom_total_mub_per_fu": 0.0, "formation_energy_uncorrected_ev_per_atom": -0.3594}

(20)
{"formula": "CaAcAgPb", "functional": "PBE-GGA", "state": "relaxed", "cell": [[5.602, 0.000, 0.000], [2.801, 4.852, 0.000], [2.801, 1.617, 4.574]], "species": ["Pb", "Ac", "Ca", "Ag"], "frac_coords": [[0.750, 0.750, 0.750], [0.000, 0.000, 0.000], [0.500, 0.500, 0.500], [0.250, 0.250, 0.250]], "e_tot_ev_per_atom": -3.63, "formation_enthalpy_0k_ev_per_atom": -0.46, "magmom_total_mub_per_fu": 0.0}